#1
# RbOs2

A geometry-optimized RbOs2 structure (PBE, OQMD via LeMat-Bulk).

Output
Space group: Fd-3m (227)

Cell: 5.5372 5.5372 5.5372 Å, 60.00 60.00 60.00°
Closest atoms and distances in Å follow each position.
Atoms (fractional coordinates):
Os  0.1250  0.6250  0.6250  6 Os 2.77
Os  0.6250  0.6250  0.6250  6 Os 2.77
Os  0.6250  0.1250  0.6250  6 Os 2.77
Rb  0.2500  0.2500  0.2500  12 Os 3.25, 4 Rb 3.39
Os  0.6250  0.6250  0.1250  6 Os 2.77
Rb  0.0000  0.0000  0.0000  12 Os 3.25, 4 Rb 3.39

---

#2
# RbOs2

A geometry-optimized RbOs2 structure (PBE, OQMD via LeMat-Bulk).

Output
Space group: Fm-3m (225)

Cell: 4.4736 4.4736 4.4736 Å, 60.00 60.00 60.00°
Closest atoms and distances in Å follow each position.
Atoms (fractional coordinates):
Os  0.7500  0.7500  0.7500  4 Rb 2.74
Rb  0.0000  0.0000  0.0000  8 Os 2.74
Os  0.2500  0.2500  0.2500  4 Rb 2.74

---

The structure with the most favorable energy is #1; the runner-up is 2267 meV/atom above it.